# CsTlHRhSBr | Alexandria | PBE | optimized geometry
# Relative energy among the computed polymorphs: 10 meV/atom
# Total moment: 0.0 μB/cell
# VASP energy: -3.842 eV/atom
# Density of states at the Fermi level: 3.21 states/eV/f.u.
data_CsTlHRhSBr
_symmetry_space_group_name_H-M 'C 1 m 1'
_symmetry_Int_Tables_number 8
_cell_length_a 15.3991
_cell_length_b 4.3734
_cell_length_c 5.5673
_cell_angle_alpha 90.00
_cell_angle_beta 91.64
_cell_angle_gamma 90.00
loop_
_symmetry_equiv_pos_as_xyz
'x,y,z'
'x,-y,z'
'x+1/2,y+1/2,z'
'x+1/2,-y+1/2,z'
loop_
_atom_site_label
_atom_site_type_symbol
_atom_site_fract_x
_atom_site_fract_y
_atom_site_fract_z
_atom_site_occupancy
Cs1 Cs 0.0000 0.0000 0.0000 1
Tl1 Tl 0.2152 0.0000 0.5356 1
H1 H 0.3641 0.0000 0.2183 1
Rh1 Rh 0.2787 0.0000 0.0558 1
S1 S 0.2648 0.5000 0.0304 1
Br1 Br 0.0574 0.5000 0.5037 1

***

# CsTlHRhSBr | Alexandria | PBE | optimized geometry
# Relative energy among the computed polymorphs: 6 meV/atom
# Total moment: 0.0 μB/cell
# VASP energy: -3.846 eV/atom
# Density of states at the Fermi level: 2.63 states/eV/f.u.
data_CsTlHRhSBr
_symmetry_space_group_name_H-M 'C 1 m 1'
_symmetry_Int_Tables_number 8
_cell_length_a 17.4460
_cell_length_b 4.3670
_cell_length_c 4.9476
_cell_angle_alpha 90.00
_cell_angle_beta 106.28
_cell_angle_gamma 90.00
loop_
_symmetry_equiv_pos_as_xyz
'x,y,z'
'x,-y,z'
'x+1/2,y+1/2,z'
'x+1/2,-y+1/2,z'
loop_
_atom_site_label
_atom_site_type_symbol
_atom_site_fract_x
_atom_site_fract_y
_atom_site_fract_z
_atom_site_occupancy
Cs1 Cs 0.0000 0.0000 0.0000 1
Tl1 Tl 0.2552 0.5000 0.2541 1
H1 H 0.0642 0.5000 0.5591 1
Rh1 Rh 0.1586 0.5000 0.6578 1
S1 S 0.1702 0.0000 0.6700 1
Br1 Br 0.3973 0.0000 0.3987 1